# La2PdAu (PBE-GGA, relaxed)
data_La2PdAu
_cell_length_a 6.0076
_cell_length_b 4.7683
_cell_length_c 7.9782
_cell_angle_alpha 90.00
_cell_angle_beta 109.45
_cell_angle_gamma 90.00
_space_group_name_H-M_alt 'P 1 21/m 1'
_space_group_IT_number 11
loop_
_space_group_symop_operation_xyz
'x,y,z'
'-x,-y,-z'
'-x,y+1/2,-z'
'x,-y+1/2,z'
loop_
_atom_site_label
_atom_site_type_symbol
_atom_site_fract_x
_atom_site_fract_y
_atom_site_fract_z
La1 La 0.2246 0.2500 0.4358
La2 La 0.2319 0.2500 0.9296
Pd1 Pd 0.3255 0.7500 0.7066
Au1 Au 0.3255 0.7500 0.2080
# - total DFT energy (no corrections) (eV per formula unit) = -21.6
# - E_form (eV per atom) = -0.821
# - DOS(E_F) (states/eV per cell) = 6.85
# - M_tot (Bohr magnetons per cell) = 0.00
# - mass density (kg/m³) = 8957